<P>
First-principles (SCAN) data for Ba2CdHg at its PBEsol-relaxed geometry, as listed in Alexandria.

The structure in POSCAR format:
```
Ba2CdHg
1.0
5.833 0.000 0.000
0.000 5.833 0.000
0.000 0.000 4.122
Ba Cd Hg
2 1 1
Direct
0.000 0.500 0.000
0.500 0.000 0.000
0.000 0.000 0.500
0.500 0.500 0.500
```

Properties
- size of the total moment (μB per atom) = 0.000
- V (Å³/f.u.) = 140
- crystal system = tetragonal


<Q>
First-principles (SCAN) data for Ba2CdHg at its PBEsol-relaxed geometry, as listed in Alexandria.

The structure in POSCAR format:
```
Ba2CdHg
1.0
6.309 -2.010 0.000
6.309 2.010 0.000
-2.100 0.000 5.386
Ba Cd Hg
2 1 1
Direct
0.000 0.000 0.000
0.194 0.194 0.652
0.433 0.433 0.439
0.750 0.750 0.198
```

Properties
- size of the total moment (μB per atom) = 0.001
- V (Å³/f.u.) = 137
- crystal system = monoclinic


The winner here is <P>, beating the second structure by 91 meV per atom.


<P>
First-principles (SCAN) data for BaLaCd at its PBEsol-relaxed geometry, as listed in Alexandria.

The structure in POSCAR format:
```
BaLaCd
1.0
-1.995 1.995 6.936
1.995 -1.995 6.936
1.995 1.995 -6.936
Ba La Cd
1 1 1
Direct
0.000 0.000 0.000
0.721 0.721 0.000
0.339 0.339 0.000
```

Properties
- size of the total moment (μB per atom) = 0.054
- V (Å³/f.u.) = 110
- crystal system = tetragonal


<Q>
First-principles (SCAN) data for BaLaCd at its PBEsol-relaxed geometry, as listed in Alexandria.

The structure in POSCAR format:
```
BaLaCd
1.0
0.000 3.756 3.756
3.756 0.000 3.756
3.756 3.756 0.000
Ba La Cd
1 1 1
Direct
0.000 0.000 0.000
0.750 0.750 0.750
0.500 0.500 0.500
```

Properties
- size of the total moment (μB per atom) = 0.000
- V (Å³/f.u.) = 106
- crystal system = cubic


The winner here is <P>, beating the second structure by 409 meV per atom.


<P>
First-principles (SCAN) data for BaLiCd2 at its PBEsol-relaxed geometry, as listed in Alexandria.

The structure in POSCAR format:
```
BaLiCd2
1.0
3.622 0.000 0.000
0.000 3.763 0.000
0.000 0.000 7.832
Ba Li Cd
1 1 2
Direct
0.000 0.000 0.000
0.000 0.000 0.500
0.500 0.500 0.315
0.500 0.500 0.685
```

Properties
- size of the total moment (μB per atom) = 0.000
- V (Å³/f.u.) = 107
- crystal system = orthorhombic


<Q>
First-principles (SCAN) data for BaLiCd2 at its PBEsol-relaxed geometry, as listed in Alexandria.

The structure in POSCAR format:
```
BaLiCd2
1.0
2.431 1.404 5.807
-2.431 1.404 5.807
0.000 -2.807 5.807
Ba Li Cd
1 1 2
Direct
0.000 0.000 0.000
0.500 0.500 0.500
0.196 0.196 0.196
0.804 0.804 0.804
```

Properties
- size of the total moment (μB per atom) = 0.000
- V (Å³/f.u.) = 119
- crystal system = trigonal


The winner here is <Q>, beating the second structure by 90 meV per atom.


<P>
First-principles (SCAN) data for BaLiCd2 at its PBEsol-relaxed geometry, as listed in Alexandria.

The structure in POSCAR format:
```
BaLiCd2
1.0
2.427 1.401 5.736
-2.427 1.401 5.736
0.000 -2.803 5.736
Ba Li Cd
1 1 2
Direct
0.000 0.000 0.000
0.808 0.808 0.808
0.199 0.199 0.199
0.495 0.495 0.495
```

Properties
- size of the total moment (μB per atom) = 0.000
- V (Å³/f.u.) = 117
- crystal system = trigonal


<Q>
First-principles (SCAN) data for BaLiCd2 at its PBEsol-relaxed geometry, as listed in Alexandria.

The structure in POSCAR format:
```
BaLiCd2
1.0
0.000 3.863 3.863
3.863 0.000 3.863
3.863 3.863 0.000
Ba Li Cd
1 1 2
Direct
0.000 0.000 0.000
0.500 0.500 0.500
0.250 0.250 0.250
0.750 0.750 0.750
```

Properties
- size of the total moment (μB per atom) = 0.000
- V (Å³/f.u.) = 115
- crystal system = cubic


The winner here is <P>, beating the second structure by 127 meV per atom.


<P>
First-principles (SCAN) data for BaCdP at its PBEsol-relaxed geometry, as listed in Alexandria.

The structure in POSCAR format:
```
BaCdP
1.0
5.450 -2.248 0.000
5.450 2.248 0.000
-1.262 0.000 6.996
Ba Cd P
2 2 2
Direct
0.120 0.120 0.298
0.880 0.880 0.702
0.382 0.382 0.067
0.618 0.618 0.933
0.180 0.180 0.763
0.820 0.820 0.237
```

Properties
- size of the total moment (μB per atom) = 0.000
- V (Å³/f.u.) = 86
- crystal system = monoclinic


<Q>
First-principles (SCAN) data for BaCdP at its PBEsol-relaxed geometry, as listed in Alexandria.

The structure in POSCAR format:
```
BaCdP
1.0
-1.875 1.875 5.610
1.875 -1.875 5.610
1.875 1.875 -5.610
Ba Cd P
1 1 1
Direct
0.000 0.000 0.000
0.291 0.291 0.000
0.698 0.698 0.000
```

Properties
- size of the total moment (μB per atom) = 0.000
- V (Å³/f.u.) = 79
- crystal system = tetragonal


The winner here is <P>, beating the second structure by 507 meV per atom.


<P>
First-principles (SCAN) data for BaCd2Sb2 at its PBEsol-relaxed geometry, as listed in Alexandria.

The structure in POSCAR format:
```
BaCd2Sb2
1.0
-2.262 2.262 7.242
2.262 -2.262 7.242
2.262 2.262 -7.242
Ba Cd Sb
1 2 2
Direct
0.000 0.000 0.000
0.250 0.750 0.500
0.750 0.250 0.500
0.379 0.379 0.000
0.621 0.621 0.000
```

Properties
- size of the total moment (μB per atom) = 0.000
- V (Å³/f.u.) = 148
- crystal system = tetragonal


<Q>
First-principles (SCAN) data for BaCd2Sb2 at its PBEsol-relaxed geometry, as listed in Alexandria.

The structure in POSCAR format:
```
BaCd2Sb2
1.0
4.772 0.000 0.000
-2.386 4.133 0.000
0.000 0.000 7.985
Ba Cd Sb
1 2 2
Direct
0.000 0.000 0.000
0.333 0.667 0.367
0.667 0.333 0.633
0.333 0.667 0.737
0.667 0.333 0.263
```

Properties
- size of the total moment (μB per atom) = 0.000
- V (Å³/f.u.) = 157
- crystal system = trigonal


The winner here is <Q>, beating the second structure by 51 meV per atom.


<P>
First-principles (SCAN) data for BaScCd at its PBEsol-relaxed geometry, as listed in Alexandria.

The structure in POSCAR format:
```
BaScCd
1.0
5.240 0.000 0.000
-2.620 4.538 0.000
0.000 0.000 3.956
Ba Sc Cd
1 1 1
Direct
0.000 0.000 0.000
0.667 0.333 0.500
0.333 0.667 0.500
```

Properties
- size of the total moment (μB per atom) = 0.000
- V (Å³/f.u.) = 94
- crystal system = hexagonal


<Q>
First-principles (SCAN) data for BaScCd at its PBEsol-relaxed geometry, as listed in Alexandria.

The structure in POSCAR format:
```
BaScCd
1.0
0.000 3.735 3.735
3.735 0.000 3.735
3.735 3.735 0.000
Ba Sc Cd
1 1 1
Direct
0.000 0.000 0.000
0.750 0.750 0.750
0.250 0.250 0.250
```

Properties
- size of the total moment (μB per atom) = 0.000
- V (Å³/f.u.) = 104
- crystal system = cubic


The winner here is <P>, beating the second structure by 687 meV per atom.


<P>
First-principles (SCAN) data for Ba2CdSe at its PBEsol-relaxed geometry, as listed in Alexandria.

The structure in POSCAR format:
```
Ba2CdSe
1.0
3.981 -4.037 0.000
3.981 4.037 0.000
0.000 0.000 4.074
Ba Cd Se
2 1 1
Direct
0.000 0.500 0.000
0.500 0.000 0.000
0.000 0.000 0.500
0.500 0.500 0.500
```

Properties
- size of the total moment (μB per atom) = 0.000
- V (Å³/f.u.) = 131
- crystal system = orthorhombic


<Q>
First-principles (SCAN) data for Ba2CdSe at its PBEsol-relaxed geometry, as listed in Alexandria.

The structure in POSCAR format:
```
Ba2CdSe
1.0
-2.070 2.176 8.571
2.070 -2.176 8.571
2.070 2.176 -8.571
Ba Cd Se
2 1 1
Direct
0.000 0.000 0.000
0.723 0.223 0.500
0.330 0.830 0.500
0.573 0.573 0.000
```

Properties
- size of the total moment (μB per atom) = 0.000
- V (Å³/f.u.) = 154
- crystal system = orthorhombic


The winner here is <Q>, beating the second structure by 19 meV per atom.